1.
# KBa5 (GGA-PBE, relaxed)
data_KBa5
_chemical_formula_sum 'K1 Ba5'
_space_group_name_H-M_alt 'P 4/m m m'
_space_group_IT_number 123
_space_group_name_Hall '-P 4 2'
_cell_length_a 5.039
_cell_length_b 5.039
_cell_length_c 15.413
_cell_angle_alpha 90.00
_cell_angle_beta 90.00
_cell_angle_gamma 90.00
loop_
_atom_site_label
_atom_site_fract_x
_atom_site_fract_y
_atom_site_fract_z
K1 0.000 0.000 0.000
Ba1 0.000 0.000 0.342
Ba2 0.500 0.500 0.174
Ba3 0.500 0.500 0.500
# ΔE_f in meV/atom: 50



2.
# K2Ba (GGA-PBE, relaxed)
data_K2Ba
_chemical_formula_sum 'K8 Ba4'
_space_group_name_H-M_alt 'P a -3'
_space_group_IT_number 205
_space_group_name_Hall '-P 2ac 2ab 3'
_cell_length_a 10.023
_cell_length_b 10.023
_cell_length_c 10.023
_cell_angle_alpha 90.00
_cell_angle_beta 90.00
_cell_angle_gamma 90.00
loop_
_atom_site_label
_atom_site_fract_x
_atom_site_fract_y
_atom_site_fract_z
K1 0.120 0.120 0.120
Ba1 0.000 0.000 0.500
# ΔE_f in meV/atom: 435



3.
# KBa2 (GGA-PBE, relaxed)
data_KBa2
_chemical_formula_sum 'K4 Ba8'
_space_group_name_H-M_alt 'F m m m'
_space_group_IT_number 69
_space_group_name_Hall '-F 2 2'
_cell_length_a 4.850
_cell_length_b 7.272
_cell_length_c 22.487
_cell_angle_alpha 90.00
_cell_angle_beta 90.00
_cell_angle_gamma 90.00
loop_
_atom_site_label
_atom_site_fract_x
_atom_site_fract_y
_atom_site_fract_z
K1 0.000 0.000 0.000
Ba1 0.000 0.000 0.329
# ΔE_f in meV/atom: 61



Repeat the second record exactly.
# K2Ba (GGA-PBE, relaxed)
data_K2Ba
_chemical_formula_sum 'K8 Ba4'
_space_group_name_H-M_alt 'P a -3'
_space_group_IT_number 205
_space_group_name_Hall '-P 2ac 2ab 3'
_cell_length_a 10.023
_cell_length_b 10.023
_cell_length_c 10.023
_cell_angle_alpha 90.00
_cell_angle_beta 90.00
_cell_angle_gamma 90.00
loop_
_atom_site_label
_atom_site_fract_x
_atom_site_fract_y
_atom_site_fract_z
K1 0.120 0.120 0.120
Ba1 0.000 0.000 0.500
# ΔE_f in meV/atom: 435